DFT (PBE-GGA) results for a geometry-optimized Sc2Fe3Ru structure.

Results
**Final energy**: -8.2064 eV/atom
**Formation energy from the elements**: -1.91 eV per formula unit
**SG**: R-3m (166)
**Calculated density**: 6712 kg/m3

abc: 4.9539 4.9539 5.0605
angles: 89.96 119.30 120.05
Fractional positions:
Sc 0.7515 0.3757 0.1272
Sc 0.2485 0.6243 0.8728
Fe 0.5000 0.5000 0.5000
Fe 0.0000 0.0000 0.5000
Fe 0.5000 0.0000 0.5000
Ru 0.0000 0.0000 0.0000



DFT (PBE-GGA) results for a geometry-optimized Ac2PaGe4Ir3 structure.

Results
**Final energy**: -6.9326 eV/atom
**Formation energy from the elements**: -6.56 eV per formula unit
**SG**: P-4m2 (115)
**Calculated density**: 11818 kg/m3

abc: 4.3590 4.3590 11.4791
angles: 90.00 90.00 90.00
Fractional positions:
Ac 0.5000 0.0000 0.2289
Ac 0.0000 0.5000 0.7711
Pa 0.5000 0.5000 0.5000
Ge 0.5000 0.5000 0.0000
Ge 0.0000 0.0000 0.0000
Ge 0.5000 0.0000 0.6689
Ge 0.0000 0.5000 0.3311
Ir 0.0000 0.0000 0.5000
Ir 0.5000 0.0000 0.8884
Ir 0.0000 0.5000 0.1116



DFT (PBE-GGA) results for a geometry-optimized Pm5Nd2Tl4 structure.

Results
**Final energy**: -4.0808 eV/atom
**Formation energy from the elements**: -2.13 eV per formula unit
**SG**: P2/m (10)
**Calculated density**: 9072 kg/m3

abc: 3.5561 8.8125 10.7534
angles: 84.02 90.00 90.00
Fractional positions:
Pm 0.0000 0.4637 0.3336
Pm 0.0000 0.8377 0.1424
Pm 0.0000 0.5000 0.0000
Pm 0.0000 0.1623 0.8576
Pm 0.0000 0.5363 0.6664
Nd 0.0000 0.9133 0.6387
Nd 0.0000 0.0867 0.3613
Tl 0.5000 0.2490 0.5800
Tl 0.5000 0.7984 0.8844
Tl 0.5000 0.7510 0.4200
Tl 0.5000 0.2016 0.1156



DFT (PBE-GGA) results for a geometry-optimized LaMnSiBi structure.

Results
**Final energy**: -5.9701 eV/atom
**SG**: Cm (8)
**Calculated density**: 6853 kg/m3
**Raw formation energy**: -0.12 eV/atom

abc: 5.7328 4.1383 9.2014
angles: 90.00 106.92 90.00
Fractional positions:
Si 0.7629 0.0000 0.0899
Si 0.7629 0.5000 0.5899
Mn 0.5194 0.0000 0.5154
Mn 0.5194 0.5000 0.0154
Bi 0.3541 0.0000 0.1956
Bi 0.3541 0.5000 0.6956
La 0.9749 0.0000 0.8309
La 0.9749 0.5000 0.3309



DFT (PBE-GGA) results for a geometry-optimized YTlVSi2 structure.

Results
**Final energy**: -4.6280 eV/atom
**SG**: P4/mmm (123)
**Calculated density**: 4975 kg/m3
**Raw formation energy**: 1.13 eV/atom

abc: 5.1231 5.0918 5.1231
angles: 90.00 90.00 90.00
Fractional positions:
Y 0.5000 0.5000 0.5000
Tl 0.0000 0.0000 0.0000
Si 0.0000 0.0000 0.5000
Si 0.5000 0.0000 0.0000
V 0.0000 0.5000 0.0000



DFT (PBE-GGA) results for a geometry-optimized Sr3Ga2Cu3 structure.

Results
**Final energy**: -3.1585 eV/atom
**Formation energy from the elements**: -1.88 eV per formula unit
**SG**: Pnma (62)
**Calculated density**: 5000 kg/m3

abc: 6.4104 8.0114 15.3387
angles: 90.00 90.00 90.00
Fractional positions:
Sr 0.1450 0.4901 0.3950
Sr 0.6450 0.0099 0.6050
Sr 0.8550 0.5099 0.8950
Sr 0.3550 0.9901 0.1050
Sr 0.8550 0.5099 0.6050
Sr 0.3550 0.9901 0.3950
Sr 0.1450 0.4901 0.1050
Sr 0.6450 0.0099 0.8950
Sr 0.6311 0.3565 0.2500
Sr 0.1311 0.1435 0.7500
Sr 0.3689 0.6435 0.7500
Sr 0.8689 0.8565 0.2500
Ga 0.8638 0.1486 0.4074
Ga 0.3638 0.3514 0.5926
Ga 0.1362 0.8514 0.9074
Ga 0.6362 0.6486 0.0926
Ga 0.1362 0.8514 0.5926
Ga 0.6362 0.6486 0.4074
Ga 0.8638 0.1486 0.0926
Ga 0.3638 0.3514 0.9074
Cu 0.0723 0.2008 0.2500
Cu 0.5723 0.2992 0.7500
Cu 0.9277 0.7992 0.7500
Cu 0.4277 0.7008 0.2500
Cu 0.5988 0.3507 0.4607
Cu 0.0988 0.1493 0.5393
Cu 0.4012 0.6493 0.9607
Cu 0.9012 0.8507 0.0393
Cu 0.4012 0.6493 0.5393
Cu 0.9012 0.8507 0.4607
Cu 0.5988 0.3507 0.0393
Cu 0.0988 0.1493 0.9607



DFT (PBE-GGA) results for a geometry-optimized P2PdWCl structure.

Results
**Final energy**: -5.5974 eV/atom
**SG**: P4/mmm (123)
**Calculated density**: 6149 kg/m3
**Raw formation energy**: 0.57 eV/atom

abc: 4.7050 4.7050 4.7288
angles: 90.00 90.00 90.00
Fractional positions:
P 0.0000 0.5000 0.0000
P 0.5000 0.0000 0.0000
Pd 0.5000 0.5000 0.5000
W 0.0000 0.0000 0.0000
Cl 0.0000 0.0000 0.5000



DFT (PBE-GGA) results for a geometry-optimized SmLuZnRu structure.

Results
**Final energy**: -5.2825 eV/atom
**Formation energy from the elements**: -1.34 eV per formula unit
**SG**: F-43m (216)
**Calculated density**: 9710 kg/m3

abc: 4.9179 4.9179 4.9179
angles: 60.00 60.00 60.00
Fractional positions:
Ru 0.0000 0.0000 0.0000
Zn 0.5000 0.5000 0.5000
Lu 0.7500 0.7500 0.7500
Sm 0.2500 0.2500 0.2500



- Among the records above, which one has the lowest final energy?
  Sc2Fe3Ru



- Among the records above, which one has the lowest calculated density?
  YTlVSi2



- Which value of calculated density does entry 4 give?
  6853 kg/m3



- The highest calculated density belongs to which entry?
  Ac2PaGe4Ir3